A plane-wave DFT calculation with PBE was carried out for a relaxed CaInBiPb crystal.

Total DFT energy (no corrections) (eV per atom): -3.45
M_tot (μB per formula unit): 0.0
N(E_F) (states/eV per atom): 0.577

a b c (Å): 4.7724 4.7860 5.2263
angles (deg): 90.00 90.00 90.00
Space group Pmmm (No. 47)
Unique sites:
1 Ca 0.0000 0.0000 0.0000
2 In 0.5000 0.0000 0.5000
3 Bi 0.5000 0.5000 0.0000
4 Pb 0.0000 0.5000 0.5000


A plane-wave DFT calculation with PBE was carried out for a relaxed Ca2In2BiPd5 crystal.

Total DFT energy (no corrections) (eV per atom): -4.46
M_tot (μB per formula unit): 0.0
N(E_F) (states/eV per atom): 0.430

a b c (Å): 10.3848 10.3848 3.9302
angles (deg): 90.00 90.00 90.00
Space group P4/mbm (No. 127)
Unique sites:
1 Ca 0.1750 0.3250 0.0000
2 In 0.1228 0.6228 0.0000
3 Bi 0.0000 0.0000 0.0000
4 Pd 0.0000 0.5000 0.5000
5 Pd 0.0586 0.7942 0.5000


A plane-wave DFT calculation with PBE was carried out for a relaxed CaPmInBi crystal.

Total DFT energy (no corrections) (eV per atom): -3.85
M_tot (μB per formula unit): 0.0
N(E_F) (states/eV per atom): 0.800

a b c (Å): 7.8477 7.8477 7.8477
angles (deg): 90.00 90.00 90.00
Space group F-43m (No. 216)
Unique sites:
1 Ca 0.0000 0.0000 0.0000
2 Pm 0.0000 0.0000 0.5000
3 In 0.2500 0.2500 0.7500
4 Bi 0.2500 0.2500 0.2500


A plane-wave DFT calculation with PBE was carried out for a relaxed CaPrInBi crystal.

Total DFT energy (no corrections) (eV per atom): -3.87
M_tot (μB per formula unit): 0.0
N(E_F) (states/eV per atom): 0.882

a b c (Å): 7.9025 7.9025 7.9025
angles (deg): 90.00 90.00 90.00
Space group F-43m (No. 216)
Unique sites:
1 Ca 0.0000 0.0000 0.0000
2 Pr 0.0000 0.0000 0.5000
3 In 0.2500 0.2500 0.7500
4 Bi 0.2500 0.2500 0.2500


A plane-wave DFT calculation with PBE was carried out for a relaxed Ca2InBiPt crystal.

Total DFT energy (no corrections) (eV per atom): -3.97
M_tot (μB per formula unit): 0.0
N(E_F) (states/eV per atom): 0.176

a b c (Å): 5.5072 5.5072 5.1315
angles (deg): 90.00 90.00 90.00
Space group P4/mmm (No. 123)
Unique sites:
1 Ca 0.0000 0.5000 0.0000
2 In 0.0000 0.0000 0.5000
3 Bi 0.5000 0.5000 0.5000
4 Pt 0.0000 0.0000 0.0000


A plane-wave DFT calculation with PBE was carried out for a relaxed CaIn2BiPt crystal.

Total DFT energy (no corrections) (eV per atom): -3.90
M_tot (μB per formula unit): 0.0
N(E_F) (states/eV per atom): 0.544

a b c (Å): 5.1682 5.1682 5.5765
angles (deg): 90.00 90.00 90.00
Space group P4/mmm (No. 123)
Unique sites:
1 Ca 0.0000 0.0000 0.0000
2 In 0.0000 0.5000 0.5000
3 Bi 0.5000 0.5000 0.0000
4 Pt 0.0000 0.0000 0.5000


A plane-wave DFT calculation with PBE was carried out for a relaxed CaPuInBi crystal.

Total DFT energy (no corrections) (eV per atom): -6.07
M_tot (μB per formula unit): 5.7
N(E_F) (states/eV per atom): 3.427

a b c (Å): 7.7873 7.7873 7.7873
angles (deg): 90.00 90.00 90.00
Space group F-43m (No. 216)
Unique sites:
1 Ca 0.0000 0.0000 0.0000
2 Pu 0.0000 0.0000 0.5000
3 In 0.2500 0.2500 0.7500
4 Bi 0.2500 0.2500 0.2500


A plane-wave DFT calculation with PBE was carried out for a relaxed RbCaInBi2 crystal.

Total DFT energy (no corrections) (eV per atom): -2.50
M_tot (μB per formula unit): 0.0
N(E_F) (states/eV per atom): 0.581

a b c (Å): 5.9877 5.9877 5.9936
angles (deg): 90.00 90.00 90.00
Space group P4/mmm (No. 123)
Unique sites:
1 Rb 0.0000 0.0000 0.0000
2 Ca 0.5000 0.5000 0.0000
3 In 0.0000 0.0000 0.5000
4 Bi 0.0000 0.5000 0.5000